Entry 1:
Entry from Alexandria via LeMat-Bulk: Y2TaSe after structural relaxation (GGA-PBE).

For the theoretical density, the calculation gives 7.7 g cm⁻³. Its crystal system is monoclinic. The raw formation energy comes out at -30.0 kJ/mol of atoms. The value obtained for the density of states at the Fermi level is 8.362 states/eV per cell. For the total energy, the calculation gives -7.38 eV per atom.

The structure belongs to space group Cm (No. 8); the cell edges are 11.184, 3.354 and 5.296 Å and the angles 90.00°, 107.27° and 90.00°. The inequivalent atoms are Y at (0.000, 0.000, 0.000), Y at (0.204, 0.000, 0.648), Ta at (0.440, 0.000, 0.460) and Se at (0.262, 0.500, 0.164).


Entry 2:
Entry from Alexandria via LeMat-Bulk: Y2TaSe after structural relaxation (GGA-PBE).

For the theoretical density, the calculation gives 7.7 g cm⁻³. Its crystal system is tetragonal. The raw formation energy comes out at -40.8 kJ/mol of atoms. The value obtained for the density of states at the Fermi level is 4.206 states/eV per cell. For the total energy, the calculation gives -7.49 eV per atom.

The structure belongs to space group P4/mmm (No. 123); the cell edges are 3.411, 3.411 and 8.134 Å and the angles 90.00°, 90.00° and 90.00°. The inequivalent atoms are Y at (0.000, 0.000, 0.235), Ta at (0.500, 0.500, 0.500) and Se at (0.500, 0.500, 0.000).


Entry 3:
Entry from Alexandria via LeMat-Bulk: Y3TaSe6 after structural relaxation (GGA-PBE).

For the theoretical density, the calculation gives 5.7 g cm⁻³. Its crystal system is orthorhombic. The raw formation energy comes out at -133.0 kJ/mol of atoms. The value obtained for the density of states at the Fermi level is 17.333 states/eV per cell. For the total energy, the calculation gives -6.59 eV per atom.

The structure belongs to space group Cmc2_1 (No. 36); the cell edges are 11.247, 13.946 and 6.802 Å and the angles 90.00°, 90.00° and 90.00°. The inequivalent atoms are Y at (0.000, 0.093, 0.000), Y at (0.178, 0.405, 0.906), Ta at (0.000, 0.303, 0.352), Se at (0.000, 0.279, 0.717), Se at (0.000, 0.469, 0.207), Se at (0.164, 0.034, 0.705) and Se at (0.170, 0.231, 0.175).


Entry 4:
Entry from Alexandria via LeMat-Bulk: Y2TaSe after structural relaxation (GGA-PBE).

For the theoretical density, the calculation gives 7.7 g cm⁻³. Its crystal system is orthorhombic. The raw formation energy comes out at -41.4 kJ/mol of atoms. The value obtained for the density of states at the Fermi level is 6.583 states/eV per cell. For the total energy, the calculation gives -7.50 eV per atom.

The structure belongs to space group Cmmm (No. 65); the cell edges are 4.445, 5.149 and 8.290 Å and the angles 90.00°, 90.00° and 90.00°. The inequivalent atoms are Y at (0.000, 0.000, 0.236), Ta at (0.000, 0.500, 0.500) and Se at (0.000, 0.500, 0.000).


Entry 5:
Entry from Alexandria via LeMat-Bulk: Y2TaSe after structural relaxation (GGA-PBE).

For the theoretical density, the calculation gives 7.4 g cm⁻³. Its crystal system is trigonal. The raw formation energy comes out at -40.2 kJ/mol of atoms. The value obtained for the density of states at the Fermi level is 15.864 states/eV per cell. For the total energy, the calculation gives -7.48 eV per atom.

The structure belongs to space group R-3m (No. 166, hexagonal axes); the cell edges are 3.5749, 3.5749 and 26.6882 Å and the angles 90.00°, 90.00° and 120.00°. The inequivalent atoms are Y at (0.0000, 0.0000, 0.2414), Ta at (0.0000, 0.0000, 0.0000) and Se at (0.0000, 0.0000, 0.5000).


Entry 6:
Entry from Alexandria via LeMat-Bulk: Y2TaSe after structural relaxation (GGA-PBE).

For the theoretical density, the calculation gives 7.7 g cm⁻³. Its crystal system is tetragonal. The raw formation energy comes out at -1.8 kJ/mol of atoms. The value obtained for the density of states at the Fermi level is 8.556 states/eV per cell. For the total energy, the calculation gives -7.09 eV per atom.

The structure belongs to space group I-4m2 (No. 119); the cell edges are 4.305, 4.305 and 10.166 Å and the angles 90.00°, 90.00° and 90.00°. The inequivalent atoms are Y at (0.000, 0.000, 0.000), Y at (0.000, 0.500, 0.250), Ta at (0.000, 0.000, 0.500) and Se at (0.000, 0.500, 0.750).


Entry 7:
Entry from Alexandria via LeMat-Bulk: YTaSe2 after structural relaxation (GGA-PBE).

For the theoretical density, the calculation gives 8.4 g cm⁻³. Its crystal system is trigonal. The raw formation energy comes out at -65.9 kJ/mol of atoms. The value obtained for the density of states at the Fermi level is 6.660 states/eV per cell. For the total energy, the calculation gives -7.00 eV per atom.

The structure belongs to space group R-3m (No. 166, hexagonal axes); the cell edges are 3.4950, 3.4950 and 23.9310 Å and the angles 90.00°, 90.00° and 120.00°. The inequivalent atoms are Y at (0.0000, 0.0000, 0.0000), Ta at (0.0000, 0.0000, 0.5000) and Se at (0.0000, 0.0000, 0.2397).


Entry 8:
Entry from Alexandria via LeMat-Bulk: Y2TaSe after structural relaxation (GGA-PBE).

For the theoretical density, the calculation gives 7.3 g cm⁻³. Its crystal system is trigonal. The raw formation energy comes out at -26.3 kJ/mol of atoms. The value obtained for the density of states at the Fermi level is 4.636 states/eV per cell. For the total energy, the calculation gives -7.34 eV per atom.

The structure belongs to space group R3m (No. 160, hexagonal axes); the cell edges are 3.4931, 3.4931 and 28.2199 Å and the angles 90.00°, 90.00° and 120.00°. The inequivalent atoms are Y at (0.0000, 0.0000, 0.0000), Y at (0.0000, 0.0000, 0.2249), Ta at (0.0000, 0.0000, 0.7538) and Se at (0.0000, 0.0000, 0.4809).


Entry 9:
Entry from Alexandria via LeMat-Bulk: YTaSe2 after structural relaxation (GGA-PBE).

For the theoretical density, the calculation gives 7.9 g cm⁻³. Its crystal system is tetragonal. The raw formation energy comes out at -38.9 kJ/mol of atoms. The value obtained for the density of states at the Fermi level is 6.957 states/eV per cell. For the total energy, the calculation gives -6.72 eV per atom.

The structure belongs to space group I-4m2 (No. 119); the cell edges are 3.817, 3.817 and 12.339 Å and the angles 90.00°, 90.00° and 90.00°. The inequivalent atoms are Y at (0.000, 0.000, 0.000), Ta at (0.000, 0.500, 0.250), Se at (0.000, 0.000, 0.500) and Se at (0.000, 0.500, 0.750).


Entry 10:
Entry from Alexandria via LeMat-Bulk: YTaSe2 after structural relaxation (GGA-PBE).

For the theoretical density, the calculation gives 7.3 g cm⁻³. Its crystal system is trigonal. The raw formation energy comes out at -57.2 kJ/mol of atoms. The value obtained for the density of states at the Fermi level is 5.757 states/eV per cell. For the total energy, the calculation gives -6.91 eV per atom.

The structure belongs to space group R-3m (No. 166, hexagonal axes); the cell edges are 3.5066, 3.5066 and 27.3766 Å and the angles 90.00°, 90.00° and 120.00°. The inequivalent atoms are Y at (0.0000, 0.0000, 0.0000), Ta at (0.0000, 0.0000, 0.5000) and Se at (0.0000, 0.0000, 0.1050).


Entry 11:
Entry from Alexandria via LeMat-Bulk: Y3TaSe after structural relaxation (GGA-PBE).

For the theoretical density, the calculation gives 5.4 g cm⁻³. Its crystal system is cubic. The raw formation energy comes out at 45.0 kJ/mol of atoms. The value obtained for the density of states at the Fermi level is 4.356 states/eV per cell. For the total energy, the calculation gives -6.48 eV per atom.

The structure belongs to space group Pm-3m (No. 221); the cell edges are 5.459, 5.459 and 5.459 Å and the angles 90.00°, 90.00° and 90.00°. The inequivalent atoms are Y at (0.000, 0.000, 0.500), Ta at (0.000, 0.000, 0.000) and Se at (0.500, 0.500, 0.500).


Entry 12:
Entry from Alexandria via LeMat-Bulk: YTaSe2 after structural relaxation (GGA-PBE).

For the theoretical density, the calculation gives 8.5 g cm⁻³. Its crystal system is monoclinic. The raw formation energy comes out at -76.6 kJ/mol of atoms. The value obtained for the density of states at the Fermi level is 6.095 states/eV per cell. For the total energy, the calculation gives -7.12 eV per atom.

The structure belongs to space group C2/m (No. 12); the cell edges are 7.920, 3.588 and 6.113 Å and the angles 90.00°, 105.75° and 90.00°. The inequivalent atoms are Y at (0.000, 0.000, 0.000), Ta at (0.000, 0.500, 0.500) and Se at (0.241, 0.000, 0.714).


Entry 13:
Entry from Alexandria via LeMat-Bulk: YTaSe2 after structural relaxation (GGA-PBE).

For the theoretical density, the calculation gives 8.2 g cm⁻³. Its crystal system is orthorhombic. The raw formation energy comes out at -77.2 kJ/mol of atoms. The value obtained for the density of states at the Fermi level is 5.762 states/eV per cell. For the total energy, the calculation gives -7.12 eV per atom.

The structure belongs to space group Amm2 (No. 38); the cell edges are 4.995, 3.510 and 9.829 Å and the angles 90.00°, 90.00° and 90.00°. The inequivalent atoms are Y at (0.000, 0.000, 0.000), Ta at (0.500, 0.000, 0.277), Se at (0.000, 0.000, 0.282) and Se at (0.500, 0.000, 0.565).


Entry 14:
Entry from Alexandria via LeMat-Bulk: Y2TaSe2 after structural relaxation (GGA-PBE).

For the theoretical density, the calculation gives 6.6 g cm⁻³. Its crystal system is tetragonal. The raw formation energy comes out at -49.5 kJ/mol of atoms. The value obtained for the density of states at the Fermi level is 13.042 states/eV per cell. For the total energy, the calculation gives -6.86 eV per atom.

The structure belongs to space group I4/mmm (No. 139); the cell edges are 5.637, 5.637 and 8.221 Å and the angles 90.00°, 90.00° and 90.00°. The inequivalent atoms are Y at (0.000, 0.500, 0.250), Ta at (0.000, 0.000, 0.000) and Se at (0.000, 0.000, 0.306).